# LaY2SnRu, optimized geometry, DFT PBE
# * ΔH_f (0 K): -1.74 eV per formula unit
# * total moment: 0.000 μB per atom
# * E_tot: -32.869 eV for the cell shown
# * V: 30.16 A^3/atom
data_LaY2SnRu
_chemical_formula_sum 'La1 Y2 Sn1 Ru1'
_symmetry_space_group_name_H-M 'P 4/m m m'
_symmetry_Int_Tables_number 123
_symmetry_space_group_name_Hall '-P 4 2'
_cell_length_a 5.373
_cell_length_b 5.373
_cell_length_c 5.224
_cell_angle_alpha 90.00
_cell_angle_beta 90.00
_cell_angle_gamma 90.00
loop_
_atom_site_label
_atom_site_fract_x
_atom_site_fract_y
_atom_site_fract_z
La1 0.000 0.000 0.000
Y1 0.000 0.500 0.500
Sn1 0.500 0.500 0.000
Ru1 0.000 0.000 0.500